Entry 1:
Entry from the Alexandria database: a relaxed Fe5Co crystal (PBE-GGA).

Structure (POSCAR):
```
Fe5Co
1.0
0.000 3.291 3.291
3.291 0.000 3.291
3.291 3.291 0.000
Fe Co
5 1
Direct
0.000 0.000 0.000
0.375 0.375 0.375
0.375 0.375 0.875
0.375 0.875 0.375
0.875 0.375 0.375
0.750 0.750 0.750
```

Calculated values
- space-group type = F-43m (216)
- DFT total energy (eV per cell) = -48.276
- total moment (μB/atom) = 2.1491
- V (Å³/atom) = 11.9



Entry 2:
Entry from the Alexandria database: a relaxed La3Er2Tm6Sc crystal (PBE-GGA).

Structure (POSCAR):
```
La3Er2Tm6Sc
1.0
3.067 -5.313 0.000
3.067 5.313 0.000
-2.045 0.000 11.499
La Er Tm Sc
3 2 6 1
Direct
0.000 0.000 0.000
0.333 0.667 0.000
0.667 0.333 0.000
0.166 0.834 0.500
0.834 0.166 0.500
0.089 0.420 0.259
0.249 0.249 0.741
0.420 0.089 0.259
0.580 0.911 0.741
0.751 0.751 0.259
0.911 0.580 0.741
0.500 0.500 0.500
```

Calculated values
- space-group type = C2/m (12)
- DFT total energy (eV per cell) = -56.599
- total moment (μB/atom) = 0.0001
- V (Å³/atom) = 31.2



Entry 3:
Entry from the Alexandria database: a relaxed LaPm6Ho4 crystal (PBE-GGA).

Structure (POSCAR):
```
LaPm6Ho4
1.0
2.945 -4.849 0.000
2.945 4.849 0.000
0.000 0.000 25.934
La Pm Ho
2 12 8
Direct
0.214 0.786 0.750
0.786 0.214 0.250
0.119 0.881 0.180
0.119 0.881 0.320
0.203 0.797 0.598
0.203 0.797 0.902
0.445 0.555 0.250
0.500 0.500 0.000
0.500 0.500 0.500
0.555 0.445 0.750
0.797 0.203 0.098
0.797 0.203 0.402
0.881 0.119 0.680
0.881 0.119 0.820
0.149 0.851 0.043
0.149 0.851 0.457
0.453 0.547 0.123
0.453 0.547 0.377
0.547 0.453 0.623
0.547 0.453 0.877
0.851 0.149 0.543
0.851 0.149 0.957
```

Calculated values
- space-group type = Cmcm (63)
- DFT total energy (eV per cell) = -100.972
- total moment (μB/atom) = 0.0004
- V (Å³/atom) = 33.7
- E above lowest polymorph (meV/atom) = 0.0



Entry 4:
Entry from the Alexandria database: a relaxed KSn2HgSe6 crystal (PBE-GGA).

Structure (POSCAR):
```
KSn2HgSe6
1.0
6.671 -7.892 0.000
6.671 7.892 0.000
-2.029 0.000 6.988
K Sn Hg Se
2 4 2 12
Direct
0.157 0.843 0.750
0.843 0.157 0.250
0.224 0.344 0.801
0.344 0.224 0.301
0.656 0.776 0.699
0.776 0.656 0.199
0.328 0.672 0.250
0.672 0.328 0.750
0.038 0.129 0.668
0.129 0.038 0.168
0.155 0.563 0.950
0.312 0.435 0.523
0.435 0.312 0.023
0.437 0.845 0.550
0.563 0.155 0.450
0.565 0.688 0.977
0.688 0.565 0.477
0.845 0.437 0.050
0.871 0.962 0.832
0.962 0.871 0.332
```

Calculated values
- space-group type = C2/c (15)
- DFT total energy (eV per cell) = -67.749
- E_form (uncorrected) (eV per atom) = -0.356
- total moment (μB/atom) = 0.0000
- V (Å³/atom) = 36.8



Entry 5:
Entry from the Alexandria database: a relaxed TbMgBe crystal (PBE-GGA).

Structure (POSCAR):
```
TbMgBe
1.0
0.000 4.630 4.861
2.751 0.000 4.861
2.751 4.630 0.000
Tb Mg Be
2 2 2
Direct
0.172 0.828 0.172
0.828 0.172 0.828
0.337 0.337 0.663
0.663 0.663 0.337
0.250 0.250 0.250
0.750 0.750 0.750
```

Calculated values
- space-group type = Fmmm (69)
- DFT total energy (eV per cell) = -18.893
- total moment (μB/atom) = 0.0000
- V (Å³/atom) = 20.6



Entry 6:
Entry from the Alexandria database: a relaxed TiWI3 crystal (PBE-GGA).

Structure (POSCAR):
```
TiWI3
1.0
5.577 0.000 0.000
0.000 5.577 0.000
0.000 0.000 5.577
Ti W I
1 1 3
Direct
0.000 0.000 0.000
0.500 0.500 0.500
0.000 0.000 0.500
0.000 0.500 0.000
0.500 0.000 0.000
```

Calculated values
- space-group type = Pm-3m (221)
- DFT total energy (eV per cell) = -20.458
- E_form (uncorrected) (eV per atom) = 1.008
- total moment (μB/atom) = 1.4000
- V (Å³/atom) = 34.7
- E above lowest polymorph (meV/atom) = 0.0



Entry 7:
Entry from the Alexandria database: a relaxed Li2Ni5As3 crystal (PBE-GGA).

Structure (POSCAR):
```
Li2Ni5As3
1.0
1.928 -10.990 0.000
1.928 10.990 0.000
0.000 0.000 6.320
Li Ni As
4 10 6
Direct
0.019 0.981 0.500
0.326 0.674 0.495
0.674 0.326 0.995
0.981 0.019 0.000
0.095 0.905 0.881
0.202 0.798 0.687
0.213 0.787 0.290
0.374 0.626 0.996
0.444 0.556 0.646
0.556 0.444 0.146
0.626 0.374 0.496
0.787 0.213 0.790
0.798 0.202 0.187
0.905 0.095 0.381
0.109 0.891 0.250
0.265 0.735 0.984
0.452 0.548 0.266
0.548 0.452 0.766
0.735 0.265 0.484
0.891 0.109 0.750
```

Calculated values
- space-group type = Cmc2_1 (36)
- DFT total energy (eV per cell) = -100.611
- total moment (μB/atom) = 0.0000
- V (Å³/atom) = 13.4



Entry 8:
Entry from the Alexandria database: a relaxed GaCu crystal (PBE-GGA).

Structure (POSCAR):
```
GaCu
1.0
7.746 0.000 0.000
0.000 7.746 0.000
0.000 0.000 2.641
Ga Cu
4 4
Direct
0.198 0.198 0.000
0.302 0.698 0.500
0.698 0.302 0.500
0.802 0.802 0.000
0.113 0.887 0.000
0.387 0.387 0.500
0.613 0.613 0.500
0.887 0.113 0.000
```

Calculated values
- space-group type = P4_2/mnm (136)
- DFT total energy (eV per cell) = -26.907
- total moment (μB/atom) = 0.0000
- V (Å³/atom) = 19.8